4
Lattice="-1.715 -0.756 -4.066 -1.371 -5.573 1.614 -3.238 4.835 2.932" Properties=species:S:1:pos:R:3 comment="K2InHg SCAN PBEsol geometry" m_tot_mub_per_fu=0.00 e_tot_ev_per_atom=-29.77 pbc="T T T"
K -6.113 -1.568 0.405
K -3.528 0.555 -1.080
Hg -1.943 -3.025 -1.083
In -2.607 -2.115 1.493